# 1
K2VI: relaxed, PBE.

Formation energy without anion corrections in meV per atom: 377
Total DFT energy (no corrections) in eV per atom: -2.839
Distance to the lowest polymorph of the same formula in meV per atom: 29

```
K2VI
1.0
-4.784 4.784 4.041
4.784 -4.784 4.041
4.784 4.784 -4.041
K V I
4 2 2
direct
0.108 0.625 0.983 K
0.375 0.358 0.483 K
0.642 0.125 0.017 K
0.875 0.892 0.517 K
0.250 0.750 0.500 V
0.500 0.500 0.000 V
0.000 0.000 0.000 I
0.750 0.250 0.500 I
```


# 2
Cs7K4Ag: relaxed, PBE.

Total DFT energy (no corrections) in eV per atom: -1.080
Energy of formation in eV per atom: 0.02

```
Cs7K4Ag
1.0
8.454 -3.868 0.000
8.454 3.868 0.000
-2.470 0.000 16.521
Cs K Ag
7 4 1
direct
0.000 0.000 0.000 Cs
0.081 0.081 0.647 Cs
0.288 0.288 0.906 Cs
0.358 0.358 0.551 Cs
0.642 0.642 0.449 Cs
0.712 0.712 0.094 Cs
0.919 0.919 0.353 Cs
0.190 0.190 0.269 K
0.445 0.445 0.187 K
0.555 0.555 0.813 K
0.810 0.810 0.731 K
0.500 0.500 0.000 Ag
```


# 3
KTl3C4O12: relaxed, PBE.

Formation energy without anion corrections in meV per atom: -1176
Total DFT energy (no corrections) in eV per atom: -6.405

```
KTl3C4O12
1.0
5.288 3.053 3.044
-5.288 3.053 3.044
0.000 -6.106 3.044
K Tl C O
1 3 4 12
direct
0.000 0.000 0.000 K
0.000 0.517 0.483 Tl
0.483 0.000 0.517 Tl
0.517 0.483 0.000 Tl
0.017 0.500 0.983 C
0.500 0.500 0.500 C
0.500 0.983 0.017 C
0.983 0.017 0.500 C
0.013 0.158 0.402 O
0.108 0.892 0.500 O
0.158 0.402 0.013 O
0.377 0.623 0.500 O
0.402 0.013 0.158 O
0.500 0.108 0.892 O
0.500 0.377 0.623 O
0.598 0.842 0.987 O
0.623 0.500 0.377 O
0.842 0.987 0.598 O
0.892 0.500 0.108 O
0.987 0.598 0.842 O
```


# 4
MgRh3Pb3: relaxed, PBE.

Total DFT energy (no corrections) in eV per atom: -5.034
Energy of formation in eV per atom: -0.07

```
MgRh3Pb3
1.0
4.608 2.660 1.952
-4.608 2.660 1.952
0.000 -5.321 1.952
Mg Rh Pb
1 3 3
direct
0.000 0.000 0.000 Mg
0.001 0.001 0.501 Rh
0.001 0.501 0.001 Rh
0.501 0.001 0.001 Rh
0.001 0.501 0.501 Pb
0.501 0.001 0.501 Pb
0.501 0.501 0.001 Pb
```


# 5
Cd6CuAg2: relaxed, PBE.

Total DFT energy (no corrections) in eV per atom: -1.643
Distance to the lowest polymorph of the same formula in meV per atom: 37
Energy of formation in eV per atom: 0.06

```
Cd6CuAg2
1.0
-2.234 3.337 6.983
2.234 -3.337 6.983
2.234 3.337 -6.983
Cd Cu Ag
6 1 2
direct
0.071 0.838 0.233 Cd
0.236 0.500 0.736 Cd
0.395 0.162 0.233 Cd
0.605 0.838 0.767 Cd
0.764 0.500 0.264 Cd
0.929 0.162 0.767 Cd
0.000 0.000 0.000 Cu
0.336 0.336 0.000 Ag
0.664 0.664 0.000 Ag
```


# 6
SmScPtRh: relaxed, PBE.

Total DFT energy (no corrections) in eV per atom: -7.062
Energy of formation in eV per atom: -0.95

```
SmScPtRh
1.0
0.000 3.410 3.410
3.410 0.000 3.410
3.410 3.410 0.000
Sm Sc Pt Rh
1 1 1 1
direct
0.000 0.000 0.000 Sm
0.500 0.500 0.500 Sc
0.250 0.250 0.250 Pt
0.750 0.750 0.750 Rh
```